Entry 1:
# Ir3Rh, optimized geometry, DFT GGA-PBE
# M_tot = 0.000 Bohr magnetons per cell
# DFT formation energy = -8.6 meV/atom
# crystal system = tetragonal
data_Ir3Rh
_symmetry_space_group_name_H-M 'I 4/m m m'
_symmetry_Int_Tables_number 139
_symmetry_space_group_name_Hall '-I 4 2'
_cell_length_a 3.8641
_cell_length_b 3.8641
_cell_length_c 15.4682
_cell_angle_alpha 90.00
_cell_angle_beta 90.00
_cell_angle_gamma 90.00
loop_
_atom_site_label
_atom_site_fract_x
_atom_site_fract_y
_atom_site_fract_z
_atom_site_occupancy
Ir1 0.0000 0.0000 0.1259 1
Ir2 0.0000 0.5000 0.0000 1
Ir3 0.0000 0.5000 0.2500 1
Rh1 0.0000 0.0000 0.3760 1

---

Entry 2:
# IrRh, optimized geometry, DFT GGA-PBE
# M_tot = 0.000 Bohr magnetons per cell
# DFT formation energy = 1111.5 meV/atom
# crystal system = tetragonal
data_IrRh
_symmetry_space_group_name_H-M 'P 42/m n m'
_symmetry_Int_Tables_number 136
_symmetry_space_group_name_Hall '-P 4n 2n'
_cell_length_a 6.7702
_cell_length_b 6.7702
_cell_length_c 3.9356
_cell_angle_alpha 90.00
_cell_angle_beta 90.00
_cell_angle_gamma 90.00
loop_
_atom_site_label
_atom_site_fract_x
_atom_site_fract_y
_atom_site_fract_z
_atom_site_occupancy
Ir1 0.1768 0.1768 0.0000 1
Rh1 0.1771 0.8229 0.0000 1

---

Entry 3:
# IrRh, optimized geometry, DFT GGA-PBE
# M_tot = 0.003 Bohr magnetons per cell
# DFT formation energy = 383.9 meV/atom
# crystal system = hexagonal
data_IrRh
_symmetry_space_group_name_H-M 'P 63/m m c'
_symmetry_Int_Tables_number 194
_symmetry_space_group_name_Hall '-P 6c 2c'
_cell_length_a 4.2724
_cell_length_b 4.2724
_cell_length_c 8.0130
_cell_angle_alpha 90.00
_cell_angle_beta 90.00
_cell_angle_gamma 120.00
loop_
_atom_site_label
_atom_site_fract_x
_atom_site_fract_y
_atom_site_fract_z
_atom_site_occupancy
Ir1 0.0000 0.0000 0.2500 1
Ir2 0.3333 0.6667 0.2500 1
Rh1 0.3333 0.6667 0.5860 1

---

Entry 4:
# Ir5Rh, optimized geometry, DFT GGA-PBE
# M_tot = 0.000 Bohr magnetons per cell
# DFT formation energy = 1.8 meV/atom
# crystal system = orthorhombic
data_Ir5Rh
_symmetry_space_group_name_H-M 'P m m n'
_symmetry_Int_Tables_number 59
_cell_length_a 3.8590
_cell_length_b 8.2144
_cell_length_c 5.4811
_cell_angle_alpha 90.00
_cell_angle_beta 90.00
_cell_angle_gamma 90.00
loop_
_symmetry_equiv_pos_as_xyz
'x,y,z'
'-x,-y,-z'
'-x+1/2,-y+1/2,z'
'x+1/2,y+1/2,-z'
'x+1/2,-y,-z'
'-x+1/2,y,z'
'-x,y+1/2,-z'
'x,-y+1/2,z'
loop_
_atom_site_label
_atom_site_fract_x
_atom_site_fract_y
_atom_site_fract_z
_atom_site_occupancy
Ir1 0.2500 0.0813 0.1244 1
Ir2 0.2500 0.0840 0.6255 1
Ir3 0.2500 0.7500 0.1246 1
Rh1 0.2500 0.7500 0.6254 1

---

Entry 5:
# IrRh, optimized geometry, DFT GGA-PBE
# M_tot = 0.000 Bohr magnetons per cell
# DFT formation energy = 1225.4 meV/atom
# crystal system = hexagonal
data_IrRh
_symmetry_space_group_name_H-M 'P 63/m'
_symmetry_Int_Tables_number 176
_symmetry_space_group_name_Hall '-P 6c'
_cell_length_a 9.9972
_cell_length_b 9.9972
_cell_length_c 3.6053
_cell_angle_alpha 90.00
_cell_angle_beta 90.00
_cell_angle_gamma 120.00
loop_
_atom_site_label
_atom_site_fract_x
_atom_site_fract_y
_atom_site_fract_z
_atom_site_occupancy
Ir1 0.0946 0.6680 0.2500 1
Rh1 0.0909 0.4236 0.2500 1

---

Entry 6:
# IrRh, optimized geometry, DFT GGA-PBE
# M_tot = 0.000 Bohr magnetons per cell
# DFT formation energy = 137.1 meV/atom
# crystal system = orthorhombic
data_IrRh
_symmetry_space_group_name_H-M 'C m c m'
_symmetry_Int_Tables_number 63
_symmetry_space_group_name_Hall '-C 2c 2'
_cell_length_a 2.7064
_cell_length_b 10.1477
_cell_length_c 4.2742
_cell_angle_alpha 90.00
_cell_angle_beta 90.00
_cell_angle_gamma 90.00
loop_
_atom_site_label
_atom_site_fract_x
_atom_site_fract_y
_atom_site_fract_z
_atom_site_occupancy
Ir1 0.0000 0.0706 0.2500 1
Rh1 0.0000 0.3264 0.2500 1